Here is crystalline NdSm4Rh2 at its relaxed geometry from the Alexandria database. Energies are from GGA-PBE.

Cell lengths 6.614, 7.971, 8.001 Å; angles 113.22, 90.00, 90.00 degrees
Fractional positions:
Sm 0.496 0.590 0.238
Sm 0.250 0.251 0.338
Sm 0.996 0.410 0.762
Sm 0.250 0.984 0.619
Sm 0.004 0.590 0.238
Sm 0.750 0.749 0.662
Sm 0.750 0.016 0.381
Sm 0.504 0.410 0.762
Rh 0.250 0.629 0.593
Rh 0.750 0.371 0.407
Rh 0.750 0.746 0.009
Rh 0.250 0.254 0.991
Nd 0.250 0.846 0.974
Nd 0.750 0.154 0.026


Here is crystalline Nd3Sm5Rh2 at its relaxed geometry from the Alexandria database. Energies are from GGA-PBE.

Cell lengths 8.053, 10.091, 10.091 Å; angles 63.21, 66.49, 66.48 degrees
Fractional positions:
Nd 0.629 0.606 0.136
Nd 0.871 0.864 0.394
Nd 0.750 0.000 0.000
Nd 0.250 0.000 0.000
Nd 0.371 0.394 0.864
Nd 0.129 0.136 0.606
Rh 0.365 0.133 0.137
Rh 0.635 0.867 0.863
Rh 0.135 0.863 0.867
Rh 0.865 0.137 0.133
Sm 0.491 0.259 0.259
Sm 0.620 0.144 0.616
Sm 0.991 0.259 0.259
Sm 0.120 0.616 0.144
Sm 0.380 0.856 0.384
Sm 0.509 0.741 0.741
Sm 0.750 0.500 0.500
Sm 0.250 0.500 0.500
Sm 0.880 0.384 0.856
Sm 0.009 0.741 0.741


Here is crystalline Nd2SmRh9 at its relaxed geometry from the Alexandria database. Energies are from GGA-PBE.

Cell lengths 5.314, 5.314, 9.394 Å; angles 73.57, 73.57, 60.00 degrees
Fractional positions:
Rh 0.333 0.333 0.002
Rh 0.581 0.082 0.756
Rh 0.419 0.419 0.244
Rh 0.500 0.500 0.500
Rh 0.918 0.419 0.244
Rh 0.581 0.581 0.756
Rh 0.419 0.918 0.244
Rh 0.082 0.581 0.756
Rh 0.667 0.667 0.998
Nd 0.861 0.861 0.416
Nd 0.139 0.139 0.584
Sm 0.000 0.000 0.000


Here is crystalline NdSm4Rh4 at its relaxed geometry from the Alexandria database. Energies are from GGA-PBE.

Cell lengths 5.736, 8.986, 8.986 Å; angles 90.00, 90.00, 90.00 degrees
Fractional positions:
Rh 0.589 0.218 0.625
Rh 0.411 0.625 0.782
Rh 0.911 0.718 0.125
Rh 0.911 0.282 0.875
Rh 0.089 0.125 0.282
Rh 0.589 0.782 0.375
Rh 0.089 0.875 0.718
Rh 0.411 0.375 0.218
Sm 0.584 0.911 0.682
Sm 0.916 0.411 0.182
Sm 0.416 0.682 0.089
Sm 0.584 0.089 0.318
Sm 0.084 0.182 0.589
Sm 0.416 0.318 0.911
Sm 0.916 0.589 0.818
Sm 0.084 0.818 0.411
Nd 0.500 0.500 0.500
Nd 0.000 0.000 0.000


Here is crystalline NdSm4Rh5 at its relaxed geometry from the Alexandria database. Energies are from GGA-PBE.

Cell lengths 3.495, 3.495, 17.688 Å; angles 90.00, 90.00, 90.00 degrees
Fractional positions:
Rh 0.500 0.500 0.103
Rh 0.500 0.500 0.500
Rh 0.500 0.500 0.897
Rh 0.500 0.500 0.699
Rh 0.500 0.500 0.301
Sm 0.000 0.000 0.201
Sm 0.000 0.000 0.401
Sm 0.000 0.000 0.799
Sm 0.000 0.000 0.599
Nd 0.000 0.000 0.000


Here is crystalline NdSm5Rh4 at its relaxed geometry from the Alexandria database. Energies are from GGA-PBE.

Cell lengths 4.300, 7.520, 9.466 Å; angles 113.47, 103.13, 90.00 degrees
Fractional positions:
Rh 0.000 0.262 0.000
Rh 0.302 0.801 0.603
Rh 0.000 0.738 0.000
Rh 0.698 0.199 0.397
Nd 0.500 0.000 0.000
Sm 0.500 0.500 0.000
Sm 0.165 0.409 0.330
Sm 0.165 0.921 0.330
Sm 0.835 0.079 0.670
Sm 0.835 0.591 0.670


Here is crystalline NdSmRh at its relaxed geometry from the Alexandria database. Energies are from GGA-PBE.

Cell lengths 6.630, 7.084, 7.836 Å; angles 90.07, 90.00, 90.00 degrees
Fractional positions:
Rh 0.997 0.753 0.856
Rh 0.503 0.753 0.356
Rh 0.497 0.247 0.644
Rh 0.003 0.247 0.144
Sm 0.741 0.923 0.615
Sm 0.241 0.077 0.885
Sm 0.259 0.077 0.385
Sm 0.759 0.923 0.115
Nd 0.257 0.579 0.613
Nd 0.743 0.421 0.387
Nd 0.757 0.421 0.887
Nd 0.243 0.579 0.113


Here is crystalline NdSm3Rh2 at its relaxed geometry from the Alexandria database. Energies are from GGA-PBE.

Cell lengths 4.875, 7.276, 8.849 Å; angles 90.00, 90.00, 90.00 degrees
Fractional positions:
Sm 0.500 0.140 0.839
Sm 0.000 0.360 0.336
Sm 0.000 0.860 0.664
Sm 0.000 0.492 0.915
Sm 0.500 0.640 0.161
Sm 0.000 0.992 0.085
Nd 0.500 0.008 0.415
Nd 0.500 0.508 0.585
Rh 0.000 0.755 0.329
Rh 0.000 0.255 0.671
Rh 0.500 0.745 0.833
Rh 0.500 0.245 0.167


Number 1: energy -41.089 eV per formula unit. Number 2: energy -54.862 eV per formula unit. Number 3: energy -86.532 eV per formula unit. Number 4: energy -58.329 eV per formula unit. Number 5: energy -67.327 eV per formula unit. Number 6: energy -63.506 eV per formula unit. Number 7: energy -18.292 eV per formula unit. Number 8: energy -37.010 eV per formula unit.